Density functional theory data (PBE with a Hubbard U) for a geometry-optimized VAg3Br2F6 structure.

Geometry as POSCAR:
```
VAg3Br2F6
1.0
5.024 0.000 0.022
0.000 6.931 0.000
-0.708 -3.466 6.888
F Br V Ag
6 2 1 3
direct
0.697 0.896 0.792 F
0.713 0.247 0.118 F
0.287 0.753 0.882 F
0.287 0.129 0.882 F
0.303 0.104 0.208 F
0.713 0.871 0.118 F
0.146 0.688 0.375 Br
0.854 0.312 0.625 Br
0.500 0.000 0.000 V
0.500 0.500 0.500 Ag
0.500 0.000 0.500 Ag
0.000 0.500 0.000 Ag
```

Calculated volume = 240 Å³ per cell
Total energy = -49.3 eV/f.u.
Magnetization = 0.000 μB/atom